Record 1
! Li6Sn3Pb PBE relaxed; values from VASP
&SYSTEM
  ibrav = 0, nat = 20, ntyp = 3
/
ATOMIC_SPECIES
Sn 118.71 Sn.upf
Li 6.94 Li.upf
Pb 207.20 Pb.upf
ATOMIC_POSITIONS angstrom
Sn 1.223 5.936 8.219
Sn 1.223 4.162 2.501
Sn 3.670 3.499 5.383
Sn 3.670 4.690 0.575
Sn 3.670 1.725 -0.335
Sn 1.223 2.971 7.309
Li 1.223 1.145 1.334
Li 3.670 1.240 7.372
Li 1.223 5.115 5.376
Li 1.223 6.422 0.512
Li 3.670 5.614 3.401
Li 1.223 2.048 4.483
Li 3.670 6.517 6.550
Li 1.223 0.576 9.182
Li 1.223 3.482 -0.538
Li 3.670 4.180 8.423
Li 3.670 7.085 -1.298
Li 3.670 2.547 2.508
Pb 1.223 7.344 3.570
Pb 3.670 0.317 4.314
CELL_PARAMETERS angstrom
4.893 0.000 0.000
0.000 7.779 -2.812
0.000 -0.118 10.696
! Symmetry: P2_1/m
! Formation energy from the elements in eV/f.u.: -3.23
! Distance to the lowest polymorph of the same formula in eV per atom: 0.000

Record 2
! Rb3Dy2ScO6 PBE relaxed; values from VASP
&SYSTEM
  ibrav = 0, nat = 12, ntyp = 4
/
ATOMIC_SPECIES
Rb 85.47 Rb.upf
O 16.00 O.upf
Dy 162.50 Dy.upf
Sc 44.96 Sc.upf
ATOMIC_POSITIONS angstrom
Rb 0.993 1.719 3.264
Rb -1.996 3.444 3.264
Rb 3.981 -0.007 3.264
O -0.041 -0.070 5.399
O 1.902 0.000 1.127
O 2.935 1.790 5.402
O -0.950 1.647 1.127
O 2.026 3.508 1.129
O 0.084 3.437 5.402
Dy 2.977 1.718 0.001
Dy 0.000 3.437 0.001
Sc 0.000 0.000 0.000
CELL_PARAMETERS angstrom
5.953 -0.001 0.001
-2.976 5.156 0.001
-0.992 -1.718 6.527
! Symmetry: C2/m
! DFT total energy in eV per cell: -80.252

Record 3
! AsP2Ir PBE relaxed; values from VASP
&SYSTEM
  ibrav = 0, nat = 4, ntyp = 3
/
ATOMIC_SPECIES
As 74.92 As.upf
P 30.97 P.upf
Ir 192.22 Ir.upf
ATOMIC_POSITIONS angstrom
As 0.689 1.201 2.398
P 0.000 0.000 9.267
P 0.000 0.000 5.122
Ir 0.689 1.201 7.194
CELL_PARAMETERS angstrom
2.802 -0.011 0.000
-1.424 2.413 0.000
0.000 0.000 9.592
! Symmetry: Cmmm
! Formation energy from the elements in eV/f.u.: 1.61

| no. | magnetization (μB per cell) |
| --- | --- |
| 1 | 0.0 |
| 2 | 0.0 |
| 3 | 0.0 |